Record 1
Compound: SiTcBr2
Source: the Alexandria database
Functional: PBE
Structure: optimized geometry

Lattice parameters (Å, degrees): 3.2963 4.3718 8.0343 95.44 98.16 112.02
With the nearest neighbours (Å) after each atom.
Atoms (fractional coordinates):
Si 0.0000 0.0000 0.0000  3 Tc 2.33-2.46
Tc 0.7478 0.4535 0.0582  3 Si 2.33-2.46, 3 Br 2.53-2.57
Br 0.3780 0.5446 0.3034  2 Tc 2.53
Br 0.5015 0.1710 0.7454  1 Tc 2.57, 2 Si 2.78-2.79

---

Record 2
Compound: SiTcBr2
Source: the Alexandria database
Functional: PBE
Structure: optimized geometry

Lattice parameters (Å, degrees): 3.2467 3.2467 31.4586 90.00 90.00 120.00
With the nearest neighbours (Å) after each atom.
Atoms (fractional coordinates):
Si 0.0000 0.0000 0.0000  6 Si 3.25, 2 Br 3.45
Si 0.3333 0.6667 0.6667  6 Si 3.25, 2 Br 3.45
Si 0.6667 0.3333 0.3333  6 Si 3.25, 2 Br 3.45
Tc 0.0000 0.0000 0.5000  6 Br 2.59
Tc 0.3333 0.6667 0.1667  6 Br 2.59
Tc 0.6667 0.3333 0.8333  6 Br 2.59
Br 0.0000 0.0000 0.1098  3 Tc 2.59
Br 0.0000 0.0000 0.8902  3 Tc 2.59
Br 0.3333 0.6667 0.5569  3 Tc 2.59
Br 0.3333 0.6667 0.7765  3 Tc 2.59
Br 0.6667 0.3333 0.2235  3 Tc 2.59
Br 0.6667 0.3333 0.4431  3 Tc 2.59

---

Record 3
Compound: Si2TcBr
Source: the Alexandria database
Functional: PBE
Structure: optimized geometry

Lattice parameters (Å, degrees): 5.8940 5.8940 11.4662 90.00 90.00 90.00
With the nearest neighbours (Å) after each atom.
Atoms (fractional coordinates):
Si 0.1742 0.2500 0.1250  2 Tc 2.30
Si 0.2500 0.6742 0.3750  2 Tc 2.30
Si 0.2500 0.8258 0.8750  2 Tc 2.30
Si 0.3258 0.2500 0.6250  2 Tc 2.30
Si 0.6742 0.7500 0.6250  2 Tc 2.30
Si 0.7500 0.1742 0.8750  2 Tc 2.30
Si 0.7500 0.3258 0.3750  2 Tc 2.30
Si 0.8258 0.7500 0.1250  2 Tc 2.30
Tc 0.0000 0.0000 0.0000  4 Si 2.30
Tc 0.0000 0.5000 0.2500  4 Si 2.30
Tc 0.5000 0.0000 0.7500  4 Si 2.30
Tc 0.5000 0.5000 0.5000  4 Si 2.30
Br 0.0000 0.0000 0.5000  4 Si 2.81
Br 0.0000 0.5000 0.7500  4 Si 2.81
Br 0.5000 0.0000 0.2500  4 Si 2.81
Br 0.5000 0.5000 0.0000  4 Si 2.81

---

Record 4
Compound: SiTcBr2
Source: the Alexandria database
Functional: PBE
Structure: optimized geometry

Lattice parameters (Å, degrees): 4.7989 3.3847 6.7297 90.00 94.59 90.00
With the nearest neighbours (Å) after each atom.
Atoms (fractional coordinates):
Si 0.0000 0.0000 0.0000  1 Br 2.27, 2 Tc 2.28
Tc 0.9984 0.5000 0.7725  2 Si 2.28, 2 Br 2.48-2.49
Br 0.4870 0.5000 0.6760  2 Tc 2.48-2.49
Br 0.9215 0.0000 0.3280  1 Si 2.27

---

Record 5
Compound: SiTcBr
Source: the Alexandria database
Functional: PBE
Structure: optimized geometry

Lattice parameters (Å, degrees): 6.0626 6.0626 6.0626 90.00 90.00 90.00
With the nearest neighbours (Å) after each atom.
Atoms (fractional coordinates):
Si 0.0000 0.0000 0.0000  4 Tc 2.63
Si 0.0000 0.5000 0.5000  4 Tc 2.63
Si 0.5000 0.0000 0.5000  4 Tc 2.63
Si 0.5000 0.5000 0.0000  4 Tc 2.63
Tc 0.2500 0.2500 0.2500  4 Br 2.63, 4 Si 2.63
Tc 0.2500 0.7500 0.7500  4 Br 2.63, 4 Si 2.63
Tc 0.7500 0.2500 0.7500  4 Br 2.63, 4 Si 2.63
Tc 0.7500 0.7500 0.2500  4 Br 2.63, 4 Si 2.63
Br 0.0000 0.0000 0.5000  4 Tc 2.63
Br 0.0000 0.5000 0.0000  4 Tc 2.63
Br 0.5000 0.0000 0.0000  4 Tc 2.63
Br 0.5000 0.5000 0.5000  4 Tc 2.63

---

Record 6
Compound: SiTcBr2
Source: the Alexandria database
Functional: PBE
Structure: optimized geometry

Lattice parameters (Å, degrees): 4.2396 5.6592 9.0685 101.04 97.03 90.66
With the nearest neighbours (Å) after each atom.
Atoms (fractional coordinates):
Si 0.0000 0.0000 0.0000  1 Si 2.41, 2 Tc 2.47-2.54, 1 Br 2.63
Si 0.4179 0.7423 0.9171  2 Br 2.39-2.42, 1 Si 2.41, 2 Tc 2.42-2.54
Tc 0.1687 0.4298 0.0386  1 Tc 2.20
Tc 0.8003 0.6699 0.1239  1 Tc 2.20, 1 Si 2.42
Br 0.0467 0.9327 0.3661  1 Tc 2.51
Br 0.1583 0.3904 0.7491  1 Si 2.42, 1 Tc 2.59
Br 0.5184 0.4057 0.2726  2 Tc 2.46-2.57
Br 0.6741 0.8847 0.7282  2 Si 2.39-2.63

---

Number 1: E_form (uncorrected) -14 kJ/mol of formula units, uncorrected energy -19.28 eV/cell. Number 2: E_form (uncorrected) 263 kJ/mol of formula units, uncorrected energy -49.22 eV/cell. Number 3: E_form (uncorrected) 203 kJ/mol of formula units, uncorrected energy -83.11 eV/cell. Number 4: E_form (uncorrected) 31 kJ/mol of formula units, uncorrected energy -18.81 eV/cell. Number 5: E_form (uncorrected) 187 kJ/mol of formula units, uncorrected energy -62.09 eV/cell. Number 6: E_form (uncorrected) -72 kJ/mol of formula units, uncorrected energy -39.76 eV/cell.